Here is crystalline TmThCo at its relaxed geometry from the Alexandria database. Energies are from PBE.

abc: 4.4482 4.4482 4.1688
angles: 106.35 106.35 75.42
Last column: nearest neighbours and their distance in Å.
Element x y z (fractional)
Tm 0.0000 0.0000 0.0000  1 Co 2.52
Th 0.4765 0.4765 0.5298  1 Co 2.40
Co 0.7319 0.7319 0.2718  1 Th 2.40, 1 Tm 2.52

Summary:
For the uncorrected energy, the calculation gives -19.22 eV per cell. As for the mass density: 10.237 g cm⁻³. As for the calculated volume: 75 Å³ per cell.